Record 1
Entry from Alexandria: crystalline Ca12Al5Zn3 at its relaxed geometry (PBE).

a = 15.742 Å, b = 15.742 Å, c = 15.742 Å
α = 109.47°, β = 109.47°, γ = 109.47°
Fractional positions:
Ca 0.056 0.224 0.128
Ca 0.056 0.332 0.928
Ca 0.072 0.628 0.405
Ca 0.072 0.944 0.668
Ca 0.095 0.724 0.668
Ca 0.095 0.872 0.428
Ca 0.128 0.056 0.224
Ca 0.128 0.572 0.905
Ca 0.168 0.224 0.595
Ca 0.168 0.444 0.572
Ca 0.224 0.128 0.056
Ca 0.224 0.595 0.168
Ca 0.276 0.332 0.905
Ca 0.276 0.444 0.372
Ca 0.332 0.905 0.276
Ca 0.332 0.928 0.056
Ca 0.372 0.276 0.444
Ca 0.372 0.595 0.928
Ca 0.405 0.072 0.628
Ca 0.405 0.832 0.776
Ca 0.428 0.095 0.872
Ca 0.428 0.832 0.556
Ca 0.444 0.372 0.276
Ca 0.444 0.572 0.168
Ca 0.556 0.428 0.832
Ca 0.556 0.628 0.724
Ca 0.572 0.168 0.444
Ca 0.572 0.905 0.128
Ca 0.595 0.168 0.224
Ca 0.595 0.928 0.372
Ca 0.628 0.405 0.072
Ca 0.628 0.724 0.556
Ca 0.668 0.072 0.944
Ca 0.668 0.095 0.724
Ca 0.724 0.556 0.628
Ca 0.724 0.668 0.095
Ca 0.776 0.405 0.832
Ca 0.776 0.872 0.944
Ca 0.832 0.556 0.428
Ca 0.832 0.776 0.405
Ca 0.872 0.428 0.095
Ca 0.872 0.944 0.776
Ca 0.905 0.128 0.572
Ca 0.905 0.276 0.332
Ca 0.928 0.056 0.332
Ca 0.928 0.372 0.595
Ca 0.944 0.668 0.072
Ca 0.944 0.776 0.872
Al 0.000 0.000 0.000
Al 0.000 0.000 0.500
Al 0.000 0.500 0.000
Al 0.000 0.500 0.500
Al 0.125 0.750 0.875
Al 0.125 0.875 0.250
Al 0.250 0.125 0.875
Al 0.250 0.625 0.375
Al 0.375 0.250 0.625
Al 0.375 0.625 0.750
Al 0.500 0.000 0.000
Al 0.500 0.000 0.500
Al 0.500 0.500 0.000
Al 0.500 0.500 0.500
Al 0.625 0.375 0.250
Al 0.625 0.750 0.375
Al 0.750 0.375 0.625
Al 0.750 0.875 0.125
Al 0.875 0.125 0.750
Al 0.875 0.250 0.125
Zn 0.125 0.250 0.375
Zn 0.125 0.375 0.750
Zn 0.250 0.375 0.125
Zn 0.250 0.875 0.625
Zn 0.375 0.125 0.250
Zn 0.375 0.750 0.125
Zn 0.625 0.250 0.875
Zn 0.625 0.875 0.750
Zn 0.750 0.125 0.375
Zn 0.750 0.625 0.875
Zn 0.875 0.625 0.250
Zn 0.875 0.750 0.625

* space group: No. 230
* energy of formation from the pure elements: 29.9 kJ/mol of atoms
* E_tot: -2.02 eV/atom
* crystal system: cubic


Record 2
Entry from Alexandria: crystalline CaAl2Zn4 at its relaxed geometry (PBE).

a = 5.542 Å, b = 5.542 Å, c = 5.542 Å
α = 102.75°, β = 102.75°, γ = 123.96°
Fractional positions:
Ca 0.000 0.000 0.000
Al 0.250 0.750 0.500
Al 0.750 0.250 0.500
Zn 0.308 0.308 0.617
Zn 0.308 0.692 0.000
Zn 0.692 0.308 0.000
Zn 0.692 0.692 0.383

* space group: No. 139
* energy of formation from the pure elements: -14.1 kJ/mol of atoms
* E_tot: -2.23 eV/atom
* crystal system: tetragonal


Record 3
Entry from Alexandria: crystalline CaAl3Zn3 at its relaxed geometry (PBE).

a = 7.011 Å, b = 7.011 Å, c = 7.011 Å
α = 90.00°, β = 90.00°, γ = 90.00°
Fractional positions:
Ca 0.000 0.000 0.000
Ca 0.500 0.500 0.500
Al 0.000 0.250 0.500
Al 0.000 0.750 0.500
Al 0.250 0.500 0.000
Al 0.500 0.000 0.250
Al 0.500 0.000 0.750
Al 0.750 0.500 0.000
Zn 0.000 0.500 0.250
Zn 0.000 0.500 0.750
Zn 0.250 0.000 0.500
Zn 0.500 0.250 0.000
Zn 0.500 0.750 0.000
Zn 0.750 0.000 0.500

* excess energy over the best structure of this formula in the dataset: 388 meV/atom
* space group: No. 223
* energy of formation from the pure elements: 26.1 kJ/mol of atoms
* E_tot: -2.17 eV/atom
* crystal system: cubic


Record 4
Entry from Alexandria: crystalline Ca2Al2Zn at its relaxed geometry (PBE).

a = 9.482 Å, b = 9.482 Å, c = 9.482 Å
α = 156.92°, β = 156.92°, γ = 32.87°
Fractional positions:
Ca 0.100 0.100 0.000
Ca 0.900 0.900 0.000
Al 0.250 0.750 0.500
Al 0.750 0.250 0.500
Zn 0.500 0.500 0.000

* space group: No. 139
* energy of formation from the pure elements: -2.1 kJ/mol of atoms
* E_tot: -2.57 eV/atom
* crystal system: tetragonal